Record 1
This record from Alexandria describes a relaxed KSiAg2Ir crystal. The functional is PBE.

Cell: 5.1550 4.8815 5.1550 Å, 90.00 90.00 90.00°
Positions (direct):
K (0.0000, 0.0000, 0.0000)
Ir (0.0000, 0.5000, 0.0000)
Si (0.5000, 0.5000, 0.5000)
Ag (0.0000, 0.0000, 0.5000)
Ag (0.5000, 0.0000, 0.0000)

Values from the calculation:
Formation energy (no corrections), eV/atom: 2.093
N(E_F), states/eV/atom: 0.637
Total magnetization, μB per formula unit: 0.0



Record 2
This record from Alexandria describes a relaxed Ta5Zn3 crystal. The functional is PBE.

Cell: 5.7750 5.7750 4.0409 Å, 90.00 90.00 88.69°
Positions (direct):
Ta (0.0000, 0.0000, 0.0000)
Ta (0.5000, 0.0000, 0.0000)
Ta (0.0000, 0.5000, 0.0000)
Ta (0.7470, 0.7470, 0.5000)
Ta (0.2530, 0.2530, 0.5000)
Zn (0.5000, 0.5000, 0.0000)
Zn (0.7503, 0.2497, 0.5000)
Zn (0.2497, 0.7503, 0.5000)

Values from the calculation:
Excess energy over the best structure of this formula in the dataset, meV/atom: 16
N(E_F), states/eV/atom: 0.531
Total magnetization, μB per formula unit: 0.0



Record 3
This record from Alexandria describes a relaxed InHS3 crystal. The functional is PBE.

Cell: 5.1458 5.1458 5.1458 Å, 90.00 90.00 90.00°
Site moments in Bohr magnetons follow the coordinates.
Positions (direct):
H (0.5000, 0.5000, 0.5000)  0.37
S (0.0000, 0.5000, 0.0000)  0.72
S (0.0000, 0.0000, 0.5000)  0.60
S (0.5000, 0.0000, 0.0000)  0.61
In (0.0000, 0.0000, 0.0000)  -0.04

Values from the calculation:
Excess energy over the best structure of this formula in the dataset, meV/atom: 253
N(E_F), states/eV/atom: 0.371
Total magnetization, μB per formula unit: 4.0